# MnTeI2O

Crystalline MnTeI2O at its relaxed geometry (PBE with a Hubbard U, Alexandria).

Unit cell a=5.248 b=5.248 c=4.665 alpha=90.00 beta=90.00 gamma=90.00
Space group P4/mmm (No. 123)
Asymmetric unit:
Mn (0.000, 0.000, 0.000) (multiplicity 1)
Te (0.500, 0.500, 0.000) (multiplicity 1)
I (0.000, 0.500, 0.500) (multiplicity 2)
O (0.500, 0.500, 0.500) (multiplicity 1)

Calculated values
The value obtained for the relative energy among the computed polymorphs is 0.541 eV/atom. The calculation puts the final energy at -3.411 eV/atom.